1.
# CrCoAg

A PBEsol-optimized structure of CrCoAg (meta-GGA SCAN, Alexandria).

Cell lengths 4.0128, 4.0128, 4.0128 Å; angles 60.00, 60.00, 60.00 degrees
Fractional positions:
Cr 0.0000 0.0000 0.0000
Co 0.2500 0.2500 0.2500
Ag 0.5000 0.5000 0.5000

Properties
crystal system: cubic
ΔE to the lowest computed polymorph: 300 meV/atom

2.
# CrCoAg

A PBEsol-optimized structure of CrCoAg (meta-GGA SCAN, Alexandria).

Cell lengths 5.7714, 5.7714, 5.7714 Å; angles 153.58, 153.58, 37.71 degrees
Fractional positions:
Cr 0.0000 0.0000 0.0000
Co 0.3737 0.3737 0.0000
Ag 0.6905 0.6905 0.0000

Properties
crystal system: tetragonal
ΔE to the lowest computed polymorph: 0 meV/atom

3.
# CrCo2Ag

A PBEsol-optimized structure of CrCo2Ag (meta-GGA SCAN, Alexandria).

Cell lengths 8.4710, 8.4710, 8.4710 Å; angles 17.49, 17.49, 17.49 degrees
Fractional positions:
Cr 0.0000 0.0000 0.0000
Co 0.2584 0.2584 0.2584
Co 0.7416 0.7416 0.7416
Ag 0.5000 0.5000 0.5000

Properties
crystal system: trigonal
ΔE to the lowest computed polymorph: 0 meV/atom

4.
# CrCo2Ag

A PBEsol-optimized structure of CrCo2Ag (meta-GGA SCAN, Alexandria).

Cell lengths 3.7136, 3.7136, 3.5269 Å; angles 90.00, 90.00, 90.00 degrees
Fractional positions:
Cr 0.0000 0.0000 0.0000
Co 0.0000 0.5000 0.5000
Co 0.5000 0.0000 0.5000
Ag 0.5000 0.5000 0.0000

Properties
crystal system: tetragonal
ΔE to the lowest computed polymorph: 43 meV/atom

Formation enthalpy at 0 K values (in meV per atom) by entry order: 764.1, 463.6, 421.0, 464.2.
Total magnetization values (in μB/cell) by entry order: 2.33, 2.79, 3.23, 1.07.
Mass density values (in g/cm3) by entry order: 7.952, 9.562, 9.629, 9.482.